(1)
Computed, not measured: an optimized crystal structure of ThSc3Al2 at the PBE level of DFT.

The structure in POSCAR format:
```
ThSc3Al2
1.0
3.366 0.000 0.000
0.000 3.366 0.000
0.000 0.000 11.758
Th Sc Al
1 3 2
Direct
0.000 0.000 0.000
0.500 0.500 0.204
0.500 0.500 0.500
0.500 0.500 0.796
0.000 0.000 0.351
0.000 0.000 0.649
```

Output
Uncorrected energy   -5.947 eV per atom
ΔH_f (0 K)   -297 meV per atom

(2)
Computed, not measured: an optimized crystal structure of ThSc2Al2 at the PBE level of DFT.

The structure in POSCAR format:
```
ThSc2Al2
1.0
5.309 0.000 0.000
0.000 3.587 0.000
-1.468 0.000 12.662
Th Sc Al
2 4 4
Direct
0.185 0.250 0.242
0.815 0.750 0.758
0.243 0.750 0.472
0.342 0.250 0.890
0.658 0.750 0.110
0.757 0.250 0.528
0.157 0.750 0.038
0.291 0.250 0.660
0.709 0.750 0.340
0.843 0.250 0.962
```

Output
Uncorrected energy   -5.686 eV per atom
ΔH_f (0 K)   -172 meV per atom

(3)
Computed, not measured: an optimized crystal structure of Th2ScAl3 at the PBE level of DFT.

The structure in POSCAR format:
```
Th2ScAl3
1.0
6.785 -4.616 0.000
6.785 4.616 0.000
0.000 0.000 4.971
Th Sc Al
4 2 6
Direct
0.047 0.671 0.750
0.329 0.953 0.750
0.671 0.047 0.250
0.953 0.329 0.250
0.396 0.604 0.250
0.604 0.396 0.750
0.086 0.914 0.250
0.317 0.317 0.000
0.317 0.317 0.500
0.683 0.683 0.000
0.683 0.683 0.500
0.914 0.086 0.750
```

Output
Uncorrected energy   -5.492 eV per atom
ΔH_f (0 K)   -92 meV per atom

(4)
Computed, not measured: an optimized crystal structure of ThScAl at the PBE level of DFT.

The structure in POSCAR format:
```
ThScAl
1.0
2.443 1.410 7.411
-2.443 1.410 7.411
0.000 -2.821 7.411
Th Sc Al
2 2 2
Direct
0.209 0.209 0.209
0.791 0.791 0.791
0.364 0.364 0.364
0.636 0.636 0.636
0.060 0.060 0.060
0.940 0.940 0.940
```

Output
Uncorrected energy   -5.955 eV per atom
ΔH_f (0 K)   -123 meV per atom
Energy relative to the lowest polymorph listed for this composition   0.134 eV/atom

(5)
Computed, not measured: an optimized crystal structure of ThSc4Al at the PBE level of DFT.

The structure in POSCAR format:
```
ThSc4Al
1.0
3.340 0.000 0.000
0.000 3.340 0.000
0.000 0.000 13.027
Th Sc Al
1 4 1
Direct
0.000 0.000 0.000
0.000 0.000 0.363
0.000 0.000 0.637
0.500 0.500 0.186
0.500 0.500 0.814
0.500 0.500 0.500
```

Output
Uncorrected energy   -6.211 eV per atom
ΔH_f (0 K)   -129 meV per atom

(6)
Computed, not measured: an optimized crystal structure of ThSc3Al at the PBE level of DFT.

The structure in POSCAR format:
```
ThSc3Al
1.0
2.672 -12.971 0.000
2.672 12.971 0.000
0.000 0.000 3.535
Th Sc Al
2 6 2
Direct
0.153 0.847 0.750
0.847 0.153 0.250
0.048 0.952 0.250
0.264 0.736 0.250
0.448 0.552 0.250
0.552 0.448 0.750
0.736 0.264 0.750
0.952 0.048 0.750
0.358 0.642 0.750
0.642 0.358 0.250
```

Output
Uncorrected energy   -6.136 eV per atom
ΔH_f (0 K)   -105 meV per atom

(7)
Computed, not measured: an optimized crystal structure of Th2ScAl4 at the PBE level of DFT.

The structure in POSCAR format:
```
Th2ScAl4
1.0
-2.464 2.464 7.760
2.464 -2.464 7.760
2.464 2.464 -7.760
Th Sc Al
2 1 4
Direct
0.127 0.127 0.000
0.873 0.873 0.000
0.500 0.500 0.000
0.000 0.500 0.500
0.327 0.327 0.000
0.500 0.000 0.500
0.673 0.673 0.000
```

Output
Uncorrected energy   -4.926 eV per atom
ΔH_f (0 K)   237 meV per atom

(8)
Computed, not measured: an optimized crystal structure of ThSc3Al8 at the PBE level of DFT.

The structure in POSCAR format:
```
ThSc3Al8
1.0
2.723 1.572 8.966
-2.723 1.572 8.966
0.000 -3.144 8.966
Th Sc Al
1 3 8
Direct
0.000 0.000 0.000
0.127 0.127 0.127
0.501 0.501 0.501
0.622 0.622 0.622
0.062 0.062 0.559
0.062 0.559 0.062
0.067 0.565 0.565
0.312 0.312 0.312
0.559 0.062 0.062
0.565 0.067 0.565
0.565 0.565 0.067
0.814 0.814 0.814
```

Output
Uncorrected energy   -5.148 eV per atom
ΔH_f (0 K)   -452 meV per atom
Energy relative to the lowest polymorph listed for this composition   0.000 eV/atom

(9)
Computed, not measured: an optimized crystal structure of ThScAl at the PBE level of DFT.

The structure in POSCAR format:
```
ThScAl
1.0
-1.683 1.683 6.563
1.683 -1.683 6.563
1.683 1.683 -6.563
Th Sc Al
1 1 1
Direct
0.000 0.000 0.000
0.302 0.302 0.000
0.667 0.667 0.000
```

Output
Uncorrected energy   -6.010 eV per atom
ΔH_f (0 K)   -178 meV per atom
Energy relative to the lowest polymorph listed for this composition   0.079 eV/atom

(10)
Computed, not measured: an optimized crystal structure of ThSc3Al4 at the PBE level of DFT.

The structure in POSCAR format:
```
ThSc3Al4
1.0
9.848 0.000 0.000
0.000 6.594 0.000
0.000 0.000 5.221
Th Sc Al
2 6 8
Direct
0.000 0.000 0.000
0.500 0.000 0.000
0.000 0.500 0.000
0.250 0.000 0.413
0.250 0.500 0.362
0.500 0.500 0.000
0.750 0.000 0.587
0.750 0.500 0.638
0.000 0.280 0.500
0.000 0.720 0.500
0.250 0.280 0.860
0.250 0.720 0.860
0.500 0.280 0.500
0.500 0.720 0.500
0.750 0.280 0.140
0.750 0.720 0.140
```

Output
Uncorrected energy   -5.538 eV per atom
ΔH_f (0 K)   -365 meV per atom

(11)
Computed, not measured: an optimized crystal structure of ThSc3Al8 at the PBE level of DFT.

The structure in POSCAR format:
```
ThSc3Al8
1.0
5.432 0.000 0.000
-2.716 4.705 0.000
0.000 0.000 9.008
Th Sc Al
1 3 8
Direct
0.000 0.000 0.000
0.000 0.000 0.370
0.667 0.333 0.501
0.667 0.333 0.860
0.162 0.325 0.679
0.162 0.838 0.679
0.333 0.667 0.440
0.333 0.667 0.931
0.504 0.008 0.194
0.504 0.496 0.194
0.675 0.838 0.679
0.992 0.496 0.194
```

Output
Uncorrected energy   -5.138 eV per atom
ΔH_f (0 K)   -442 meV per atom
Energy relative to the lowest polymorph listed for this composition   0.010 eV/atom

(12)
Computed, not measured: an optimized crystal structure of ThScAl at the PBE level of DFT.

The structure in POSCAR format:
```
ThScAl
1.0
5.111 0.000 0.000
-2.555 4.426 0.000
0.000 0.000 6.538
Th Sc Al
2 2 2
Direct
0.000 0.000 0.000
0.000 0.000 0.500
0.333 0.667 0.250
0.667 0.333 0.750
0.333 0.667 0.750
0.667 0.333 0.250
```

Output
Uncorrected energy   -6.089 eV per atom
ΔH_f (0 K)   -258 meV per atom
Energy relative to the lowest polymorph listed for this composition   0.000 eV/atom

Q: Which of these has the lowest ΔH_f (0 K)?
A: number 8

Q: ΔH_f (0 K) of number 11 (ThSc3Al8)?
A: -442 meV per atom

Q: Which value of uncorrected energy does entry 2 give?
A: -5.686 eV per atom